Entry 1:
Below is an optimized crystal structure of LiCeEuTc, with properties calculated at the GGA-PBE level.

a b c (Å): 5.0002 5.0002 5.0002
angles (deg): 60.00 60.00 60.00
With the nearest neighbours (Å) after each atom.
Fractional positions:
1 Ce 0.2500 0.2500 0.2500  4 Tc 3.06, 4 Li 3.06
2 Li 0.0000 0.0000 0.0000  4 Ce 3.06, 4 Eu 3.06
3 Eu 0.7500 0.7500 0.7500  4 Tc 3.06, 4 Li 3.06
4 Tc 0.5000 0.5000 0.5000  4 Eu 3.06, 4 Ce 3.06

Calculated values
* crystal system: cubic
* size of the total moment: 7.2 μB per cell
* uncorrected energy: -6.92 eV/atom

---

Entry 2:
Below is an optimized crystal structure of LiCeEuTl, with properties calculated at the GGA-PBE level.

a b c (Å): 5.5123 5.5123 5.5123
angles (deg): 60.00 60.00 60.00
With the nearest neighbours (Å) after each atom.
Fractional positions:
1 Eu 0.7500 0.7500 0.7500  4 Li 3.38, 4 Tl 3.38
2 Tl 0.5000 0.5000 0.5000  4 Ce 3.38, 4 Eu 3.38
3 Ce 0.2500 0.2500 0.2500  4 Tl 3.38, 4 Li 3.38
4 Li 0.0000 0.0000 0.0000  4 Ce 3.38, 4 Eu 3.38

Calculated values
* crystal system: cubic
* size of the total moment: 8.2 μB per cell
* uncorrected energy: -5.20 eV/atom

---

Entry 3:
Below is an optimized crystal structure of CeEuLu, with properties calculated at the GGA-PBE level.

a b c (Å): 3.5612 3.5612 8.8844
angles (deg): 90.00 90.00 120.00
With the nearest neighbours (Å) after each atom.
Fractional positions:
1 Ce 0.3333 0.6667 0.6529  3 Lu 3.42, 6 Ce 3.56, 3 Eu 3.72
2 Lu 0.6667 0.3333 0.3454  3 Ce 3.42, 6 Lu 3.56, 3 Eu 3.68
3 Eu 0.0000 0.0000 0.0017  6 Eu 3.56, 3 Lu 3.68, 3 Ce 3.72

Calculated values
* crystal system: trigonal
* size of the total moment: 8.4 μB per cell
* uncorrected energy: -6.78 eV/atom

---

Entry 4:
Below is an optimized crystal structure of CeEu2Lu, with properties calculated at the GGA-PBE level.

a b c (Å): 3.6216 3.6216 12.2910
angles (deg): 81.53 81.53 60.00
With the nearest neighbours (Å) after each atom.
Fractional positions:
1 Ce 0.5000 0.5000 0.5000  6 Ce 3.62, 6 Eu 3.71
2 Eu 0.2511 0.2511 0.2466  6 Eu 3.62, 3 Lu 3.65, 3 Ce 3.71
3 Lu 0.0000 0.0000 0.0000  6 Lu 3.62, 6 Eu 3.65
4 Eu 0.7489 0.7489 0.7534  6 Eu 3.62, 3 Lu 3.65, 3 Ce 3.71

Calculated values
* crystal system: trigonal
* size of the total moment: 16.5 μB per cell
* uncorrected energy: -7.57 eV/atom

---

Entry 5:
Below is an optimized crystal structure of CeEuLuMg, with properties calculated at the GGA-PBE level.

a b c (Å): 5.5909 5.5909 5.5909
angles (deg): 60.00 60.00 60.00
With the nearest neighbours (Å) after each atom.
Fractional positions:
1 Lu 0.5000 0.5000 0.5000  4 Ce 3.42, 4 Eu 3.42
2 Eu 0.2500 0.2500 0.2500  4 Mg 3.42, 4 Lu 3.42
3 Mg 0.0000 0.0000 0.0000  4 Eu 3.42, 4 Ce 3.42
4 Ce 0.7500 0.7500 0.7500  4 Mg 3.42, 4 Lu 3.42

Calculated values
* crystal system: cubic
* size of the total moment: 6.2 μB per cell
* uncorrected energy: -5.44 eV/atom

---

Entry 6:
Below is an optimized crystal structure of CeEu2Mg, with properties calculated at the GGA-PBE level.

a b c (Å): 5.6962 5.6962 5.6962
angles (deg): 60.00 60.00 60.00
With the nearest neighbours (Å) after each atom.
Fractional positions:
1 Eu 0.2500 0.2500 0.2500  4 Mg 3.49, 4 Ce 3.49
2 Mg 0.5000 0.5000 0.5000  8 Eu 3.49
3 Eu 0.7500 0.7500 0.7500  4 Mg 3.49, 4 Ce 3.49
4 Ce 0.0000 0.0000 0.0000  8 Eu 3.49

Calculated values
* crystal system: cubic
* size of the total moment: 16.6 μB per cell
* uncorrected energy: -6.85 eV/atom

---

Entry 7:
Below is an optimized crystal structure of CeEu2Mg, with properties calculated at the GGA-PBE level.

a b c (Å): 3.8145 3.8145 9.4277
angles (deg): 90.00 90.00 90.00
With the nearest neighbours (Å) after each atom.
Fractional positions:
1 Eu 0.0000 0.0000 0.7709  4 Mg 3.46, 4 Ce 3.71, 4 Eu 3.81
2 Ce 0.5000 0.5000 0.5000  8 Eu 3.71, 4 Ce 3.81
3 Eu 0.0000 0.0000 0.2291  4 Mg 3.46, 4 Ce 3.71, 4 Eu 3.81
4 Mg 0.5000 0.5000 0.0000  8 Eu 3.46, 4 Mg 3.81

Calculated values
* crystal system: tetragonal
* size of the total moment: 16.7 μB per cell
* uncorrected energy: -6.91 eV/atom

---

Entry 8:
Below is an optimized crystal structure of CePmEuMg, with properties calculated at the GGA-PBE level.

a b c (Å): 5.6235 5.6235 5.6235
angles (deg): 60.00 60.00 60.00
With the nearest neighbours (Å) after each atom.
Fractional positions:
1 Pm 0.7500 0.7500 0.7500  4 Mg 3.44, 4 Ce 3.44
2 Mg 0.0000 0.0000 0.0000  4 Pm 3.44, 4 Eu 3.44
3 Eu 0.2500 0.2500 0.2500  4 Ce 3.44, 4 Mg 3.44
4 Ce 0.5000 0.5000 0.5000  4 Eu 3.44, 4 Pm 3.44

Calculated values
* crystal system: cubic
* size of the total moment: 9.8 μB per cell
* uncorrected energy: -5.46 eV/atom

---

Entry 9:
Below is an optimized crystal structure of TbCeEuMg, with properties calculated at the GGA-PBE level.

a b c (Å): 5.6096 5.6096 5.6096
angles (deg): 60.00 60.00 60.00
With the nearest neighbours (Å) after each atom.
Fractional positions:
1 Eu 0.2500 0.2500 0.2500  4 Ce 3.44, 4 Mg 3.44
2 Ce 0.5000 0.5000 0.5000  4 Tb 3.44, 4 Eu 3.44
3 Tb 0.7500 0.7500 0.7500  4 Ce 3.44, 4 Mg 3.44
4 Mg 0.0000 0.0000 0.0000  4 Tb 3.44, 4 Eu 3.44

Calculated values
* crystal system: cubic
* size of the total moment: 6.1 μB per cell
* uncorrected energy: -5.40 eV/atom

---

Entry 10:
Below is an optimized crystal structure of CeEuMgTl, with properties calculated at the GGA-PBE level.

a b c (Å): 5.5510 5.5510 5.5510
angles (deg): 60.00 60.00 60.00
With the nearest neighbours (Å) after each atom.
Fractional positions:
1 Eu 0.2500 0.2500 0.2500  4 Tl 3.40, 4 Mg 3.40
2 Ce 0.7500 0.7500 0.7500  4 Mg 3.40, 4 Tl 3.40
3 Tl 0.0000 0.0000 0.0000  4 Ce 3.40, 4 Eu 3.40
4 Mg 0.5000 0.5000 0.5000  4 Eu 3.40, 4 Ce 3.40

Calculated values
* crystal system: cubic
* size of the total moment: 8.3 μB per cell
* uncorrected energy: -5.19 eV/atom

---

Entry 11:
Below is an optimized crystal structure of CeEuYMg, with properties calculated at the GGA-PBE level.

a b c (Å): 5.6074 5.6074 5.6074
angles (deg): 60.00 60.00 60.00
With the nearest neighbours (Å) after each atom.
Fractional positions:
1 Mg 0.0000 0.0000 0.0000  4 Y 3.43, 4 Ce 3.43
2 Eu 0.5000 0.5000 0.5000  4 Ce 3.43, 4 Y 3.43
3 Y 0.7500 0.7500 0.7500  4 Eu 3.43, 4 Mg 3.43
4 Ce 0.2500 0.2500 0.2500  4 Mg 3.43, 4 Eu 3.43

Calculated values
* crystal system: cubic
* size of the total moment: 8.7 μB per cell
* uncorrected energy: -5.93 eV/atom

---

Entry 12:
Below is an optimized crystal structure of Ce3EuMn, with properties calculated at the GGA-PBE level.

a b c (Å): 5.2363 5.2363 5.2363
angles (deg): 90.00 90.00 90.00
With the nearest neighbours (Å) after each atom.
Fractional positions:
1 Mn 0.0000 0.0000 0.0000  6 Ce 2.62
2 Ce 0.5000 0.0000 0.0000  2 Mn 2.62
3 Ce 0.0000 0.5000 0.0000  2 Mn 2.62
4 Eu 0.5000 0.5000 0.5000  12 Ce 3.70
5 Ce 0.0000 0.0000 0.5000  2 Mn 2.62

Calculated values
* crystal system: cubic
* size of the total moment: 9.0 μB per cell
* uncorrected energy: -7.29 eV/atom

---

Entry 13:
Below is an optimized crystal structure of Ce4Eu2N, with properties calculated at the GGA-PBE level.

a b c (Å): 4.9188 4.9188 9.4744
angles (deg): 74.95 74.95 90.00
With the nearest neighbours (Å) after each atom.
Fractional positions:
1 Eu 0.3297 0.3297 0.3405  9 Ce 3.49-3.88
2 Ce 0.8685 0.8685 0.2630  1 N 2.32
3 Ce 0.5000 0.0000 0.0000  2 N 2.46
4 Ce 0.0000 0.5000 0.0000  2 N 2.46
5 N 0.0000 0.0000 0.0000  6 Ce 2.32-2.46
6 Eu 0.6703 0.6703 0.6595  9 Ce 3.49-3.88
7 Ce 0.1315 0.1315 0.7370  1 N 2.32

Calculated values
* crystal system: tetragonal
* formation energy from raw total energies: -3.81 kcal/mol of atoms
* size of the total moment: 18.0 μB per cell
* uncorrected energy: -7.68 eV/atom

---

Entry 14:
Below is an optimized crystal structure of Ce2EuN, with properties calculated at the GGA-PBE level.

a b c (Å): 3.1412 3.1412 9.3696
angles (deg): 90.00 90.00 90.00
With the nearest neighbours (Å) after each atom.
Fractional positions:
1 Ce 0.0000 0.0000 0.8497  4 N 2.63, 1 Ce 2.82
2 Eu 0.5000 0.5000 0.5000  4 Eu 3.14
3 N 0.5000 0.5000 0.0000  8 Ce 2.63
4 Ce 0.0000 0.0000 0.1503  4 N 2.63, 1 Ce 2.82

Calculated values
* crystal system: tetragonal
* formation energy from raw total energies: -5.43 kcal/mol of atoms
* size of the total moment: 7.0 μB per cell
* uncorrected energy: -7.85 eV/atom

---

Entry 15:
Below is an optimized crystal structure of Ce2EuN, with properties calculated at the GGA-PBE level.

a b c (Å): 3.5770 3.5770 9.6292
angles (deg): 79.30 79.30 60.00
With the nearest neighbours (Å) after each atom.
Fractional positions:
1 N 0.0000 0.0000 0.0000  6 Ce 2.48
2 Eu 0.5000 0.5000 0.5000  6 Eu 3.58, 6 Ce 3.91
3 Ce 0.7156 0.7156 0.8533  3 N 2.48
4 Ce 0.2844 0.2844 0.1467  3 N 2.48

Calculated values
* crystal system: trigonal
* formation energy from raw total energies: -13.98 kcal/mol of atoms
* size of the total moment: 10.1 μB per cell
* uncorrected energy: -8.22 eV/atom

---

Entry 16:
Below is an optimized crystal structure of NaCeEu2, with properties calculated at the GGA-PBE level.

a b c (Å): 3.7191 3.7191 11.0710
angles (deg): 90.00 90.00 90.00
With the nearest neighbours (Å) after each atom.
Fractional positions:
1 Eu 0.0000 0.0000 0.2371  4 Ce 3.72, 4 Eu 3.72, 4 Na 3.92
2 Na 0.5000 0.5000 0.5000  4 Na 3.72, 8 Eu 3.92
3 Eu 0.0000 0.0000 0.7629  4 Ce 3.72, 4 Eu 3.72, 4 Na 3.92
4 Ce 0.5000 0.5000 0.0000  8 Eu 3.72, 4 Ce 3.72

Calculated values
* crystal system: tetragonal
* size of the total moment: 16.8 μB per cell
* uncorrected energy: -6.78 eV/atom